# 1
An optimized crystal structure of Ta2AgW, computed with GGA-PBE.

Output
Energy relative to the lowest polymorph listed for this composition in meV per atom: 364
Density of states at the Fermi level in states/eV/atom: 1.21
Magnetic moment in μB/cell: 0.0
Crystal system: cubic

a b c (Å): 4.6240 4.6240 4.6240
angles (deg): 60.00 60.00 60.00
Element x y z (fractional)
Ta1 0.0000 0.0000 0.0000
Ta2 0.2500 0.2500 0.2500
Ag1 0.7500 0.7500 0.7500
W1 0.5000 0.5000 0.5000

=====

# 2
An optimized crystal structure of HfV4Pt, computed with GGA-PBE.

Output
Density of states at the Fermi level in states/eV/atom: 1.08
Magnetic moment in μB/cell: 0.0
Final energy in eV per atom: -8.9399
Crystal system: cubic

a b c (Å): 5.0352 5.0352 5.0352
angles (deg): 60.00 60.00 60.00
Element x y z (fractional)
Hf1 0.0000 0.0000 0.0000
V1 0.1195 0.6268 0.6268
V2 0.6268 0.1195 0.6268
V3 0.6268 0.6268 0.1195
V4 0.6268 0.6268 0.6268
Pt1 0.2500 0.2500 0.2500

=====

# 3
An optimized crystal structure of Mg2CoRe, computed with GGA-PBE.

Output
Energy relative to the lowest polymorph listed for this composition in meV per atom: 238
Density of states at the Fermi level in states/eV/atom: 0.66
Magnetic moment in μB/cell: 1.6
Crystal system: orthorhombic

a b c (Å): 5.2962 5.2962 5.2962
angles (deg): 148.44 129.17 61.07
Element x y z (fractional)
Mg1 0.2289 0.2289 0.0000
Mg2 0.7711 0.7711 0.0000
Co1 0.0000 0.5000 0.5000
Re1 0.5000 0.0000 0.5000

=====

Which value of density of states at the Fermi level does entry 3 give?
0.66 states/eV/atom